1.
## Tm8Ni2Pt (PBE)

Data for crystalline Tm8Ni2Pt at its relaxed geometry.

Structure (POSCAR):
```
Tm8Ni2Pt
1.0
5.683 0.086 -0.936
-1.846 6.616 -2.812
-0.059 -0.133 7.421
Tm Ni Pt
8 2 1
direct
0.579 0.081 0.342
0.170 0.367 0.367
0.386 0.926 0.665
0.988 0.223 0.783
0.806 0.637 0.637
0.579 0.342 0.081
0.386 0.665 0.926
0.988 0.783 0.223
0.488 0.696 0.312
0.488 0.312 0.696
0.141 0.002 0.002
```

Properties
- Offset from the most stable computed form: 90 meV/atom
- Formation energy: -32.0 kJ/mol of atoms
- Space group: No. 8



2.
## TmNiPt (PBE)

Data for crystalline TmNiPt at its relaxed geometry.

Structure (POSCAR):
```
TmNiPt
1.0
3.623 0.000 0.000
0.000 4.208 0.000
0.000 -2.104 3.644
Pt Ni Tm
1 1 1
direct
0.167 0.333 0.667
0.166 0.000 0.000
0.667 0.667 0.333
```

Properties
- Formation energy: -77.5 kJ/mol of atoms
- Space group: No. 187



3.
## Tm6Ni5Pt (PBE)

Data for crystalline Tm6Ni5Pt at its relaxed geometry.

Structure (POSCAR):
```
Tm6Ni5Pt
1.0
-2.817 2.265 -3.090
-5.260 -1.156 3.947
-0.206 7.264 1.853
Ni Pt Tm
5 1 6
direct
0.336 0.500 0.328
0.664 0.500 0.672
0.669 0.000 0.661
0.000 0.500 0.000
0.331 0.000 0.339
0.000 0.000 0.000
0.831 0.252 0.337
0.831 0.748 0.337
0.500 0.747 0.000
0.500 0.253 0.000
0.169 0.748 0.663
0.169 0.252 0.663
```

Properties
- Formation energy: -57.3 kJ/mol of atoms
- Space group: No. 65



- Among the records above, which one has the lowest formation energy?
  TmNiPt